Here is a relaxed Ce2PmThAs4 crystal from Alexandria via LeMat-Bulk. Energies are from PBE.

Cell and atoms, written as POSCAR:
```
Ce2PmThAs4
1.0
-0.798 -2.521 -3.311
6.752 1.271 -2.595
4.631 -4.999 2.691
Ce Pm Th As
2 1 1 4
Direct
0.000 0.000 0.000
0.500 0.000 0.500
0.500 0.500 0.000
0.000 0.500 0.500
0.000 0.752 0.748
0.000 0.248 0.252
0.500 0.752 0.250
0.500 0.248 0.750
```

Output
The calculation puts the total energy at -0.2495 hartree per atom. The value obtained for the calculated formation energy is -1461 meV per atom. The calculation puts the density of states at the Fermi level at 12.03 states/eV/f.u. The calculated volume comes out at 215.0 Å³ per cell.

Here is a relaxed CePmTh2As4 crystal from Alexandria via LeMat-Bulk. Energies are from PBE.

Cell and atoms, written as POSCAR:
```
CePmTh2As4
1.0
-0.533 -3.665 -7.636
0.971 -7.628 3.593
-6.169 5.194 2.659
Ce Pm Th As
2 2 4 8
Direct
0.500 0.500 0.500
0.000 0.000 0.000
0.000 0.500 0.000
0.000 0.500 0.500
0.500 0.000 0.000
0.500 0.000 0.500
0.000 0.000 0.500
0.500 0.500 0.000
0.250 0.751 0.001
0.749 0.250 0.499
0.251 0.750 0.501
0.750 0.249 0.999
0.750 0.750 0.999
0.750 0.750 0.501
0.250 0.250 0.499
0.250 0.250 0.001
```

Output
The calculation puts the total energy at -0.2561 hartree per atom. The value obtained for the calculated formation energy is -1453 meV per atom. The calculation puts the density of states at the Fermi level at 8.68 states/eV/f.u. The calculated volume comes out at 432.3 Å³ per cell.

Here is a relaxed CePm2Th3As6 crystal from Alexandria via LeMat-Bulk. Energies are from PBE.

Cell and atoms, written as POSCAR:
```
CePm2Th3As6
1.0
-2.356 -1.799 3.043
1.830 -7.670 -3.119
7.961 2.359 4.594
Ce Pm Th As
1 2 3 6
Direct
0.500 0.000 0.000
0.833 0.665 0.665
0.167 0.335 0.335
0.500 0.500 0.000
0.833 0.167 0.666
0.167 0.833 0.334
0.334 0.918 0.668
0.666 0.584 0.333
0.666 0.082 0.332
0.000 0.249 0.000
0.000 0.751 0.000
0.334 0.416 0.667
```

Output
The calculation puts the total energy at -0.2546 hartree per atom. The value obtained for the calculated formation energy is -1463 meV per atom. The calculation puts the density of states at the Fermi level at 9.90 states/eV/f.u. The calculated volume comes out at 324.4 Å³ per cell.

Here is a relaxed Ce2PmTm3As6 crystal from Alexandria via LeMat-Bulk. Energies are from PBE.

Cell and atoms, written as POSCAR:
```
Ce2PmTm3As6
1.0
4.149 0.000 0.000
0.000 8.276 0.313
-2.075 -2.366 8.700
Ce Pm Tm As
2 1 3 6
Direct
0.834 0.668 0.667
0.166 0.332 0.333
0.500 0.000 0.000
0.500 0.500 0.000
0.834 0.166 0.668
0.166 0.834 0.332
0.331 0.920 0.661
0.665 0.588 0.330
0.669 0.080 0.339
0.999 0.257 0.997
0.001 0.743 0.003
0.335 0.412 0.670
```

Output
The calculation puts the total energy at -0.2318 hartree per atom. The value obtained for the calculated formation energy is -1480 meV per atom. The calculation puts the density of states at the Fermi level at 11.51 states/eV/f.u. The calculated volume comes out at 301.8 Å³ per cell.

Here is a relaxed Ce3PmTm2As6 crystal from Alexandria via LeMat-Bulk. Energies are from PBE.

Cell and atoms, written as POSCAR:
```
Ce3PmTm2As6
1.0
-1.637 0.111 7.039
-3.036 -4.918 -4.340
6.689 -2.674 0.359
Ce Pm Tm As
3 1 2 6
Direct
0.165 0.835 0.500
0.835 0.165 0.500
0.500 0.500 0.500
0.000 0.000 0.000
0.333 0.667 0.000
0.667 0.333 0.000
0.918 0.578 0.754
0.742 0.742 0.245
0.082 0.422 0.246
0.578 0.918 0.754
0.258 0.258 0.755
0.422 0.082 0.246
```

Output
The calculation puts the total energy at -0.2357 hartree per atom. The value obtained for the calculated formation energy is -1464 meV per atom. The calculation puts the density of states at the Fermi level at 17.04 states/eV/f.u. The calculated volume comes out at 307.5 Å³ per cell.

Here is a relaxed CePmTm2As4 crystal from Alexandria via LeMat-Bulk. Energies are from PBE.

Cell and atoms, written as POSCAR:
```
CePmTm2As4
1.0
-3.132 -1.651 2.163
4.576 -4.489 3.199
2.539 3.040 5.996
Ce Pm Tm As
1 1 2 4
Direct
0.000 0.500 0.500
0.500 0.500 0.000
0.000 0.000 0.000
0.500 0.000 0.500
0.000 0.759 0.745
0.000 0.241 0.255
0.500 0.759 0.249
0.500 0.241 0.751
```

Output
The calculation puts the total energy at -0.2303 hartree per atom. The value obtained for the calculated formation energy is -1488 meV per atom. The calculation puts the density of states at the Fermi level at 6.38 states/eV/f.u. The calculated volume comes out at 201.4 Å³ per cell.